Record 1
Computed, not measured: a relaxed structure of Sr2AlF7 at the PBE level of DFT.

* size of the total moment: 0.00 μB/f.u.
* formation energy (no corrections): -3.745 eV per atom
* total DFT energy (no corrections): -5.765 eV per atom

Cell: 6.3839 7.3617 7.6531 Å, 109.50 99.54 114.91°
Space group P-1 (No. 2)
One atom of each set of equivalent atoms:
Sr 0.0776 0.4510 0.2404
Sr 0.3794 0.1826 0.8381
Al 0.3577 0.1211 0.2926
F 0.0478 0.0734 0.2660
F 0.2148 0.4723 0.9540
F 0.2832 0.9241 0.0307
F 0.2961 0.7656 0.6505
F 0.2980 0.8732 0.3242
F 0.3846 0.3159 0.1894
F 0.4422 0.2895 0.5533

Record 2
Computed, not measured: a relaxed structure of Ce2TmMgTl4 at the PBE level of DFT.

* ΔH_f (0 K): -241.7 meV/atom
* size of the total moment: 1.94 μB/f.u.
* total DFT energy (no corrections): -3.667 eV per atom

Cell: 5.3234 5.3234 26.9251 Å, 90.00 90.00 120.00°
Space group R-3m (No. 166, hexagonal axes)
One atom of each set of equivalent atoms:
Ce 0.0000 0.0000 0.2435
Tm 0.0000 0.0000 0.0000
Mg 0.0000 0.0000 0.5000
Tl 0.0000 0.0000 0.1234
Tl 0.0000 0.0000 0.3739

Record 3
Computed, not measured: a relaxed structure of Ba4BeTl at the PBE level of DFT.

* ΔH_f (0 K): 710.9 meV/atom
* size of the total moment: 0.00 μB/f.u.
* total DFT energy (no corrections): -1.586 eV per atom

Cell: 10.2877 10.2877 10.2877 Å, 90.00 90.00 90.00°
Space group F-43m (No. 216)
One atom of each set of equivalent atoms:
Ba 0.1250 0.1250 0.1250
Be 0.2500 0.2500 0.7500
Tl 0.0000 0.0000 0.5000

Record 4
Computed, not measured: a relaxed structure of PrLuCoPt at the PBE level of DFT.

* ΔH_f (0 K): -556.4 meV/atom
* size of the total moment: 0.49 μB/f.u.
* total DFT energy (no corrections): -6.168 eV per atom

Cell: 6.9443 6.9443 6.9443 Å, 90.00 90.00 90.00°
Space group F-43m (No. 216)
One atom of each set of equivalent atoms:
Pr 0.0000 0.0000 0.0000
Lu 0.0000 0.0000 0.5000
Co 0.2500 0.2500 0.7500
Pt 0.2500 0.2500 0.2500

Record 5
Computed, not measured: a relaxed structure of Ba2Sr2Cu at the PBE level of DFT.

* ΔH_f (0 K): -2.2 meV/atom
* size of the total moment: 0.00 μB/f.u.
* energy above the most stable polymorph in this dataset: 0 meV/atom
* total DFT energy (no corrections): -2.263 eV per atom

Cell: 6.2483 6.2483 6.4222 Å, 90.00 90.00 90.00°
Space group P4/mmm (No. 123)
One atom of each set of equivalent atoms:
Ba 0.0000 0.0000 0.0000
Ba 0.5000 0.5000 0.0000
Sr 0.0000 0.5000 0.5000
Cu 0.0000 0.0000 0.5000

Record 6
Computed, not measured: a relaxed structure of SrMg14Ga at the PBE level of DFT.

* ΔH_f (0 K): 7.5 meV/atom
* size of the total moment: 0.00 μB/f.u.
* energy above the most stable polymorph in this dataset: 0 meV/atom
* total DFT energy (no corrections): -1.682 eV per atom

Cell: 10.3969 6.3656 11.6203 Å, 90.00 90.00 90.00°
Space group Amm2 (No. 38)
One atom of each set of equivalent atoms:
Sr 0.0000 0.0000 0.0000
Mg 0.0000 0.2436 0.2505
Mg 0.2300 0.0000 0.6416
Mg 0.2577 0.2478 0.3981
Mg 0.2628 0.0000 0.1567
Mg 0.5000 0.0000 0.4913
Mg 0.5000 0.0000 0.9880
Mg 0.5000 0.2437 0.7370
Ga 0.0000 0.0000 0.4697